Model i:
Here is a relaxed structure of NbNi2Cl2 from Alexandria via LeMat-Bulk. Energies are from PBE.

CIF file:
```
data_NbNi2Cl2
_space_group_name_H-M_alt 'P 1'
_space_group_IT_number 1
_cell_length_a 5.876
_cell_length_b 5.876
_cell_length_c 5.876
_cell_angle_alpha 140.73
_cell_angle_beta 140.73
_cell_angle_gamma 56.75
loop_
_space_group_symop_operation_xyz
'x,y,z'
loop_
_atom_site_label
_atom_site_fract_x
_atom_site_fract_y
_atom_site_fract_z
Nb1 0.000 0.000 0.000
Ni1 0.389 0.389 0.000
Ni2 0.611 0.611 0.000
Cl1 0.250 0.750 0.500
Cl2 0.750 0.250 0.500
```

Output
DOS at the Fermi energy ... 0.541 states/eV/atom
Space-group type ... No. 139

***

Model ii:
Here is a relaxed structure of NbNi2Cl2 from Alexandria via LeMat-Bulk. Energies are from PBE.

CIF file:
```
data_NbNi2Cl2
_space_group_name_H-M_alt 'P 1'
_space_group_IT_number 1
_cell_length_a 6.468
_cell_length_b 6.468
_cell_length_c 4.171
_cell_angle_alpha 90.00
_cell_angle_beta 90.00
_cell_angle_gamma 90.00
loop_
_space_group_symop_operation_xyz
'x,y,z'
loop_
_atom_site_label
_atom_site_fract_x
_atom_site_fract_y
_atom_site_fract_z
Nb1 0.000 0.000 0.000
Nb2 0.500 0.500 0.000
Ni1 0.135 0.365 0.000
Ni2 0.365 0.865 0.000
Ni3 0.635 0.135 0.000
Ni4 0.865 0.635 0.000
Cl1 0.204 0.296 0.500
Cl2 0.296 0.796 0.500
Cl3 0.704 0.204 0.500
Cl4 0.796 0.704 0.500
```

Output
DOS at the Fermi energy ... 0.882 states/eV/atom
Space-group type ... No. 127

***

The winner here is model ii, beating the second structure by 156 meV per atom.

***

Model i:
Here is a relaxed structure of NbNiCl3 from Alexandria via LeMat-Bulk. Energies are from PBE.

CIF file:
```
data_NbNiCl3
_space_group_name_H-M_alt 'P 1'
_space_group_IT_number 1
_cell_length_a 4.626
_cell_length_b 4.626
_cell_length_c 4.626
_cell_angle_alpha 90.00
_cell_angle_beta 90.00
_cell_angle_gamma 90.00
loop_
_space_group_symop_operation_xyz
'x,y,z'
loop_
_atom_site_label
_atom_site_fract_x
_atom_site_fract_y
_atom_site_fract_z
Nb1 0.000 0.000 0.000
Ni1 0.500 0.500 0.500
Cl1 0.000 0.500 0.500
Cl2 0.500 0.000 0.500
Cl3 0.500 0.500 0.000
```

Output
DOS at the Fermi energy ... 0.871 states/eV/atom
Space-group type ... No. 221

***

Model ii:
Here is a relaxed structure of NbNiCl3 from Alexandria via LeMat-Bulk. Energies are from PBE.

CIF file:
```
data_NbNiCl3
_space_group_name_H-M_alt 'P 1'
_space_group_IT_number 1
_cell_length_a 4.856
_cell_length_b 4.856
_cell_length_c 4.856
_cell_angle_alpha 90.00
_cell_angle_beta 90.00
_cell_angle_gamma 90.00
loop_
_space_group_symop_operation_xyz
'x,y,z'
loop_
_atom_site_label
_atom_site_fract_x
_atom_site_fract_y
_atom_site_fract_z
Nb1 0.000 0.000 0.000
Ni1 0.500 0.500 0.500
Cl1 0.000 0.000 0.500
Cl2 0.000 0.500 0.000
Cl3 0.500 0.000 0.000
```

Output
DOS at the Fermi energy ... 1.640 states/eV/atom
Space-group type ... No. 221

***

The winner here is model ii, beating the second structure by 67 meV per atom.

***

Model i:
Here is a relaxed structure of NbNiSCl2 from Alexandria via LeMat-Bulk. Energies are from PBE.

CIF file:
```
data_NbNiSCl2
_space_group_name_H-M_alt 'P 1'
_space_group_IT_number 1
_cell_length_a 4.862
_cell_length_b 4.862
_cell_length_c 4.828
_cell_angle_alpha 90.00
_cell_angle_beta 90.00
_cell_angle_gamma 90.00
loop_
_space_group_symop_operation_xyz
'x,y,z'
loop_
_atom_site_label
_atom_site_fract_x
_atom_site_fract_y
_atom_site_fract_z
Nb1 0.000 0.000 0.000
Ni1 0.500 0.500 0.500
S1 0.000 0.000 0.500
Cl1 0.000 0.500 0.000
Cl2 0.500 0.000 0.000
```

Output
DOS at the Fermi energy ... 1.895 states/eV/atom
Space-group type ... No. 123

***

Model ii:
Here is a relaxed structure of NbNiSCl2 from Alexandria via LeMat-Bulk. Energies are from PBE.

CIF file:
```
data_NbNiSCl2
_space_group_name_H-M_alt 'P 1'
_space_group_IT_number 1
_cell_length_a 4.434
_cell_length_b 4.434
_cell_length_c 4.742
_cell_angle_alpha 90.00
_cell_angle_beta 90.00
_cell_angle_gamma 90.00
loop_
_space_group_symop_operation_xyz
'x,y,z'
loop_
_atom_site_label
_atom_site_fract_x
_atom_site_fract_y
_atom_site_fract_z
Nb1 0.000 0.000 0.000
Ni1 0.500 0.500 0.500
S1 0.500 0.500 0.000
Cl1 0.000 0.500 0.500
Cl2 0.500 0.000 0.500
```

Output
DOS at the Fermi energy ... 0.956 states/eV/atom
Space-group type ... No. 123

***

The winner here is model i, beating the second structure by 151 meV per atom.

***

Model i:
Here is a relaxed structure of Nb2ClO from Alexandria via LeMat-Bulk. Energies are from PBE.

CIF file:
```
data_Nb2ClO
_space_group_name_H-M_alt 'P 1'
_space_group_IT_number 1
_cell_length_a 4.247
_cell_length_b 4.247
_cell_length_c 4.247
_cell_angle_alpha 60.00
_cell_angle_beta 60.00
_cell_angle_gamma 60.00
loop_
_space_group_symop_operation_xyz
'x,y,z'
loop_
_atom_site_label
_atom_site_fract_x
_atom_site_fract_y
_atom_site_fract_z
Nb1 0.250 0.250 0.250
Nb2 0.750 0.750 0.750
Cl1 0.000 0.000 0.000
O1 0.500 0.500 0.500
```

Output
DOS at the Fermi energy ... 1.008 states/eV/atom
Space-group type ... No. 225

***

Model ii:
Here is a relaxed structure of Nb2ClO from Alexandria via LeMat-Bulk. Energies are from PBE.

CIF file:
```
data_Nb2ClO
_space_group_name_H-M_alt 'P 1'
_space_group_IT_number 1
_cell_length_a 7.494
_cell_length_b 7.494
_cell_length_c 7.494
_cell_angle_alpha 145.91
_cell_angle_beta 145.91
_cell_angle_gamma 48.98
loop_
_space_group_symop_operation_xyz
'x,y,z'
loop_
_atom_site_label
_atom_site_fract_x
_atom_site_fract_y
_atom_site_fract_z
Nb1 0.058 0.625 0.933
Nb2 0.375 0.308 0.433
Nb3 0.692 0.125 0.067
Nb4 0.875 0.942 0.567
Cl1 0.250 0.750 0.500
Cl2 0.500 0.500 0.000
O1 0.000 0.000 0.000
O2 0.750 0.250 0.500
```

Output
DOS at the Fermi energy ... 0.558 states/eV/atom
Space-group type ... No. 122

***

The winner here is model ii, beating the second structure by 553 meV per atom.

***

Model i:
Here is a relaxed structure of NbPCl2O from Alexandria via LeMat-Bulk. Energies are from PBE.

CIF file:
```
data_NbPCl2O
_space_group_name_H-M_alt 'P 1'
_space_group_IT_number 1
_cell_length_a 4.778
_cell_length_b 4.778
_cell_length_c 4.948
_cell_angle_alpha 90.00
_cell_angle_beta 90.00
_cell_angle_gamma 90.00
loop_
_space_group_symop_operation_xyz
'x,y,z'
loop_
_atom_site_label
_atom_site_fract_x
_atom_site_fract_y
_atom_site_fract_z
Nb1 0.000 0.000 0.000
P1 0.000 0.000 0.500
Cl1 0.000 0.500 0.000
Cl2 0.500 0.000 0.000
O1 0.500 0.500 0.500
```

Output
DOS at the Fermi energy ... 1.732 states/eV/atom
Space-group type ... No. 123

***

Model ii:
Here is a relaxed structure of NbPCl2O from Alexandria via LeMat-Bulk. Energies are from PBE.

CIF file:
```
data_NbPCl2O
_space_group_name_H-M_alt 'P 1'
_space_group_IT_number 1
_cell_length_a 4.385
_cell_length_b 4.385
_cell_length_c 4.097
_cell_angle_alpha 90.00
_cell_angle_beta 90.00
_cell_angle_gamma 90.00
loop_
_space_group_symop_operation_xyz
'x,y,z'
loop_
_atom_site_label
_atom_site_fract_x
_atom_site_fract_y
_atom_site_fract_z
Nb1 0.000 0.000 0.000
P1 0.500 0.500 0.000
Cl1 0.000 0.500 0.500
Cl2 0.500 0.000 0.500
O1 0.500 0.500 0.500
```

Output
DOS at the Fermi energy ... 1.359 states/eV/atom
Space-group type ... No. 123

***

The winner here is model i, beating the second structure by 434 meV per atom.

***

Model i:
Here is a relaxed structure of NbSCl2O from Alexandria via LeMat-Bulk. Energies are from PBE.

CIF file:
```
data_NbSCl2O
_space_group_name_H-M_alt 'P 1'
_space_group_IT_number 1
_cell_length_a 4.890
_cell_length_b 4.890
_cell_length_c 4.716
_cell_angle_alpha 90.00
_cell_angle_beta 90.00
_cell_angle_gamma 90.00
loop_
_space_group_symop_operation_xyz
'x,y,z'
loop_
_atom_site_label
_atom_site_fract_x
_atom_site_fract_y
_atom_site_fract_z
Nb1 0.000 0.000 0.000
S1 0.000 0.000 0.500
Cl1 0.000 0.500 0.000
Cl2 0.500 0.000 0.000
O1 0.500 0.500 0.500
```

Output
DOS at the Fermi energy ... 1.899 states/eV/atom
Space-group type ... No. 123

***

Model ii:
Here is a relaxed structure of NbSCl2O from Alexandria via LeMat-Bulk. Energies are from PBE.

CIF file:
```
data_NbSCl2O
_space_group_name_H-M_alt 'P 1'
_space_group_IT_number 1
_cell_length_a 4.295
_cell_length_b 4.295
_cell_length_c 4.378
_cell_angle_alpha 90.00
_cell_angle_beta 90.00
_cell_angle_gamma 90.00
loop_
_space_group_symop_operation_xyz
'x,y,z'
loop_
_atom_site_label
_atom_site_fract_x
_atom_site_fract_y
_atom_site_fract_z
Nb1 0.000 0.000 0.000
S1 0.500 0.500 0.000
Cl1 0.000 0.500 0.500
Cl2 0.500 0.000 0.500
O1 0.500 0.500 0.500
```

Output
DOS at the Fermi energy ... 1.305 states/eV/atom
Space-group type ... No. 123

***

The winner here is model i, beating the second structure by 784 meV per atom.